Entry from Alexandria via LeMat-Bulk: an optimized crystal structure of Th2SnHg (GGA-PBE).

a b c (Å): 6.3355 4.4134 9.0368
angles (deg): 90.00 110.05 90.00
Closest atoms and distances in Å follow each position.
Space group P2_1/m (No. 11)
Symmetry-distinct sites (fractional):
1 Th 0.2115 0.2500 0.4273 (multiplicity 2)  3 Hg 3.23-3.53, 4 Sn 3.24-3.50
2 Th 0.2819 0.7500 0.0683 (multiplicity 2)  4 Hg 3.22-3.54, 3 Sn 3.26-3.50
3 Sn 0.3768 0.7500 0.7087 (multiplicity 2)  2 Hg 2.97, 5 Th 3.24-3.26
4 Hg 0.1232 0.2500 0.7921 (multiplicity 2)  2 Sn 2.97, 5 Th 3.22-3.23

calculated formation energy	-0.38	eV per atom

=====

Entry from Alexandria via LeMat-Bulk: an optimized crystal structure of PrY3Mg (GGA-PBE).

a b c (Å): 3.7491 6.8106 12.8459
angles (deg): 92.88 90.01 105.97
Closest atoms and distances in Å follow each position.
Space group P-1 (No. 2)
Symmetry-distinct sites (fractional):
1 Pr 0.2354 0.4700 0.2555 (multiplicity 2)  2 Mg 3.39, 8 Y 3.58-3.77, 2 Pr 3.75
2 Y 0.0358 0.0713 0.6868 (multiplicity 2)  2 Mg 3.31, 5 Y 3.52-3.59, 3 Pr 3.58-3.66
3 Y 0.1460 0.2923 0.9461 (multiplicity 2)  4 Mg 3.26-3.32, 3 Y 3.53-3.56, 2 Pr 3.61
4 Y 0.3652 0.7310 0.5239 (multiplicity 2)  9 Y 3.52-3.75, 3 Pr 3.70-3.77
5 Mg 0.4455 0.8918 0.8735 (multiplicity 2)  6 Y 3.26-3.32, 2 Pr 3.39, 1 Mg 3.48

calculated formation energy	-0.02	eV per atom
E above lowest polymorph	0	meV per atom

=====

Entry from Alexandria via LeMat-Bulk: an optimized crystal structure of KBa2Re (GGA-PBE).

a b c (Å): 8.7255 3.8044 11.4116
angles (deg): 90.00 94.74 90.00
Closest atoms and distances in Å follow each position.
Space group C2/m (No. 12)
Symmetry-distinct sites (fractional):
1 K 0.0000 0.0000 0.0000 (multiplicity 2)  2 K 3.80
2 Ba 0.2254 0.0000 0.6617 (multiplicity 4)  3 Re 3.14-3.21
3 Re 0.0000 0.5000 0.5000 (multiplicity 2)  6 Ba 3.14-3.21

calculated formation energy	0.95	eV per atom
E above lowest polymorph	112	meV per atom

=====

Entry from Alexandria via LeMat-Bulk: an optimized crystal structure of TaTc2Te (GGA-PBE).

a b c (Å): 6.4951 6.4951 6.4951
angles (deg): 90.00 90.00 90.00
Closest atoms and distances in Å follow each position.
Space group F-43m (No. 216)
Symmetry-distinct sites (fractional):
1 Ta 0.0000 0.0000 0.0000 (multiplicity 4)  4 Tc 2.81, 4 Te 2.81
2 Tc 0.0000 0.0000 0.5000 (multiplicity 4)  4 Te 2.81, 4 Tc 2.81
3 Tc 0.2500 0.2500 0.2500 (multiplicity 4)  4 Ta 2.81, 4 Tc 2.81
4 Te 0.2500 0.2500 0.7500 (multiplicity 4)  4 Ta 2.81, 4 Tc 2.81

raw formation energy	10.4	kcal/mol of atoms

=====

Entry from Alexandria via LeMat-Bulk: an optimized crystal structure of Al5SiNi2 (GGA-PBE).

a b c (Å): 3.1071 7.8797 9.4752
angles (deg): 90.00 90.00 90.00
Closest atoms and distances in Å follow each position.
Space group Immm (No. 71)
Symmetry-distinct sites (fractional):
1 Al 0.0000 0.0000 0.0000 (multiplicity 2)  2 Ni 2.49, 8 Al 2.66
2 Al 0.0000 0.2837 0.3595 (multiplicity 8)  3 Ni 2.42-2.58, 5 Al 2.65-2.66
3 Si 0.0000 0.5000 0.0000 (multiplicity 2)  4 Ni 2.73, 8 Al 3.03
4 Ni 0.0000 0.0000 0.2629 (multiplicity 4)  7 Al 2.42-2.58

raw formation energy	-4.0	kcal/mol of atoms
E above lowest polymorph	86	meV per atom

=====

Entry from Alexandria via LeMat-Bulk: an optimized crystal structure of CdNiH2Au (GGA-PBE).

a b c (Å): 3.6017 3.6017 5.8053
angles (deg): 90.00 90.00 90.00
Closest atoms and distances in Å follow each position.
Space group P4/mmm (No. 123)
Symmetry-distinct sites (fractional):
1 Cd 0.0000 0.0000 0.0000 (multiplicity 1)  4 Ni 2.55
2 Ni 0.5000 0.5000 0.0000 (multiplicity 1)  4 Cd 2.55
3 H 0.0000 0.5000 0.5000 (multiplicity 2)  2 Au 1.80
4 Au 0.0000 0.0000 0.5000 (multiplicity 1)  4 H 1.80

total DFT energy (no corrections)	-2.8291	eV/atom

=====

Entry from Alexandria via LeMat-Bulk: an optimized crystal structure of K2AsCl (GGA-PBE).

a b c (Å): 5.0396 6.0462 8.8783
angles (deg): 90.00 90.00 90.00
Closest atoms and distances in Å follow each position.
Space group Immm (No. 71)
Symmetry-distinct sites (fractional):
1 K 0.0000 0.0000 0.2278 (multiplicity 4)  2 Cl 3.23, 2 As 3.49
2 As 0.0000 0.5000 0.0000 (multiplicity 2)  8 K 3.49-3.64
3 Cl 0.0000 0.5000 0.5000 (multiplicity 2)  4 K 3.23

raw formation energy	-15.0	kcal/mol of atoms
E above lowest polymorph	258	meV per atom

=====

Entry from Alexandria via LeMat-Bulk: an optimized crystal structure of Mg2AlSi (GGA-PBE).

a b c (Å): 4.1325 4.1325 8.4808
angles (deg): 90.00 90.00 90.00
Closest atoms and distances in Å follow each position.
Space group I4/mmm (No. 139)
Symmetry-distinct sites (fractional):
1 Mg 0.0000 0.5000 0.2500 (multiplicity 4)  4 Mg 2.92, 4 Al 2.96, 4 Si 2.96
2 Al 0.0000 0.0000 0.0000 (multiplicity 2)  4 Si 2.92, 8 Mg 2.96
3 Si 0.0000 0.0000 0.5000 (multiplicity 2)  4 Al 2.92, 8 Mg 2.96

raw formation energy	1.0	kcal/mol of atoms

=====

Entry from Alexandria via LeMat-Bulk: an optimized crystal structure of HfTl2C (GGA-PBE).

a b c (Å): 6.9546 6.9546 6.9546
angles (deg): 90.00 90.00 90.00
Closest atoms and distances in Å follow each position.
Space group Fm-3m (No. 225)
Symmetry-distinct sites (fractional):
1 Hf 0.0000 0.0000 0.0000 (multiplicity 4)  8 Tl 3.01
2 Tl 0.2500 0.2500 0.2500 (multiplicity 8)  4 Hf 3.01, 4 C 3.01
3 C 0.0000 0.0000 0.5000 (multiplicity 4)  8 Tl 3.01

calculated formation energy	1.62	eV per atom
E above lowest polymorph	792	meV per atom

=====

Entry from Alexandria via LeMat-Bulk: an optimized crystal structure of Ce2NdTmN4 (GGA-PBE).

a b c (Å): 6.1351 3.5474 6.1613
angles (deg): 90.00 109.46 90.00
Closest atoms and distances in Å follow each position.
Space group P2/m (No. 10)
Symmetry-distinct sites (fractional):
1 Ce 0.0000 0.0000 0.0000 (multiplicity 1)  6 N 2.46
2 Ce 0.0000 0.5000 0.5000 (multiplicity 1)  6 N 2.54
3 Nd 0.5000 0.0000 0.5000 (multiplicity 1)  6 N 2.56
4 Tm 0.5000 0.5000 0.0000 (multiplicity 1)  6 N 2.48
5 N 0.2423 0.5000 0.2367 (multiplicity 2)  3 Ce 2.46-2.54, 1 Tm 2.48, 2 Nd 2.56
6 N 0.2504 0.0000 0.7599 (multiplicity 2)  3 Ce 2.46-2.54, 2 Tm 2.48, 1 Nd 2.56

raw formation energy	-35.2	kcal/mol of atoms

=====

Entry from Alexandria via LeMat-Bulk: an optimized crystal structure of OsPt3 (GGA-PBE).

a b c (Å): 2.7244 4.7663 9.6177
angles (deg): 90.00 90.00 90.00
Closest atoms and distances in Å follow each position.
Space group Cmmm (No. 65)
Symmetry-distinct sites (fractional):
1 Os 0.0000 0.0000 0.0000 (multiplicity 2)  4 Pt 2.71, 6 Os 2.72-2.74
2 Pt 0.0000 0.0000 0.5000 (multiplicity 2)  10 Pt 2.72-2.81
3 Pt 0.0000 0.5000 0.2441 (multiplicity 4)  2 Os 2.71, 8 Pt 2.72-2.81

calculated formation energy	0.20	eV per atom

=====

Entry from Alexandria via LeMat-Bulk: an optimized crystal structure of P2OsF2 (GGA-PBE).

a b c (Å): 4.6122 4.6122 6.1127
angles (deg): 90.00 90.00 90.00
Closest atoms and distances in Å follow each position.
Space group I4/mmm (No. 139)
Symmetry-distinct sites (fractional):
1 P 0.0000 0.5000 0.2500 (multiplicity 4)  4 F 2.36
2 Os 0.0000 0.0000 0.0000 (multiplicity 2)  2 F 2.04
3 F 0.0000 0.0000 0.3336 (multiplicity 4)  1 F 2.03, 1 Os 2.04

raw formation energy	3.7	kcal/mol of atoms
E above lowest polymorph	136	meV per atom

=====

Number 1: density 10.96 g cm⁻³. Number 2: density 4.56 g cm⁻³. Number 3: density 4.40 g cm⁻³. Number 4: density 12.23 g cm⁻³. Number 5: density 4.01 g cm⁻³. Number 6: density 8.16 g cm⁻³. Number 7: density 2.31 g cm⁻³. Number 8: density 2.38 g cm⁻³. Number 9: density 11.83 g cm⁻³. Number 10: density 8.53 g cm⁻³. Number 11: density 20.62 g cm⁻³. Number 12: density 7.41 g cm⁻³.